Here is a geometry-optimized MoSO2 structure from Alexandria. Energies are from GGA+U.

Results
- size of the total moment (μB/f.u.) = 0.0
- mass density (g/cm³) = 5.80
- VASP energy (eV for the cell shown) = -22.81
- symmetry = R-3m (166)

Cell lengths 6.805, 6.805, 6.805 Å; angles 24.01, 24.01, 24.01 degrees
Positions (direct):
Mo1 0.000 0.000 0.000
S1 0.500 0.500 0.500
O1 0.403 0.403 0.403
O2 0.597 0.597 0.597

Here is a geometry-optimized Mo2SO structure from Alexandria. Energies are from GGA+U.

Results
- size of the total moment (μB/f.u.) = 3.9
- mass density (g/cm³) = 7.60
- distance to the lowest polymorph of the same formula (eV per atom) = 0.505
- VASP energy (eV for the cell shown) = -21.91
- symmetry = Fm-3m (225)

Cell lengths 4.201, 4.201, 4.201 Å; angles 60.00, 60.00, 60.00 degrees
Positions (direct):
Mo1 0.250 0.250 0.250
Mo2 0.750 0.750 0.750
S1 0.000 0.000 0.000
O1 0.500 0.500 0.500

> Among the records above, which one has the highest VASP energy?

Mo2SO

> The highest size of the total moment belongs to which entry?

Mo2SO